No. 1
VASP calculation (PBE-GGA) on a geometry-optimized LiHoErAu structure.

It has space group F-43m (No. 216), with a = 7.160 Å, b = 7.160 Å, c = 7.160 Å, α = 90.00°, β = 90.00° and γ = 90.00°. The asymmetric unit holds Li at (0.000, 0.000, 0.000), Ho at (0.250, 0.250, 0.250), Er at (0.250, 0.250, 0.750) and Au at (0.000, 0.000, 0.500).

The calculation puts the electronic total energy at -4.001 eV per atom. Its theoretical density is 9.700 g cm⁻³. As for the formation energy: -0.42 eV/atom.



No. 2
VASP calculation (PBE-GGA) on a geometry-optimized TbYSc5 structure.

It has space group P4/mmm (No. 123), with a = 5.125 Å, b = 5.125 Å, c = 7.591 Å, α = 90.00°, β = 90.00° and γ = 90.00°. The asymmetric unit holds Tb at (0.000, 0.000, 0.000), Y at (0.500, 0.500, 0.500), Sc at (0.000, 0.500, 0.271) and Sc at (0.500, 0.500, 0.000).

The calculation puts the electronic total energy at -5.722 eV per atom. Its theoretical density is 3.936 g cm⁻³. As for the formation energy: 0.39 eV/atom.



No. 3
VASP calculation (PBE-GGA) on a geometry-optimized EuErAg structure.

It has space group P3m1 (No. 156), with a = 5.1078 Å, b = 5.1078 Å, c = 3.9003 Å, α = 90.00°, β = 90.00° and γ = 120.00°. The asymmetric unit holds Eu at (0.0000, 0.0000, 0.0000), Er at (0.3333, 0.6667, 0.5175) and Ag at (0.6667, 0.3333, 0.4322).

The calculation puts the electronic total energy at -5.895 eV per atom. Its theoretical density is 8.048 g cm⁻³. As for the formation energy: 0.00 eV/atom. The value obtained for the polymorph energy (0 for the lowest one) is 0.1590 eV/atom.



No. 4
VASP calculation (PBE-GGA) on a geometry-optimized SmPaCoTc structure.

It has space group F-43m (No. 216), with a = 6.846 Å, b = 6.846 Å, c = 6.846 Å, α = 90.00°, β = 90.00° and γ = 90.00°. The asymmetric unit holds Sm at (0.000, 0.000, 0.000), Pa at (0.000, 0.000, 0.500), Co at (0.250, 0.250, 0.250) and Tc at (0.250, 0.250, 0.750).

The calculation puts the electronic total energy at -7.934 eV per atom. Its theoretical density is 11.142 g cm⁻³. As for the formation energy: -0.01 eV/atom.



No. 5
VASP calculation (PBE-GGA) on a geometry-optimized BaRu2Pt structure.

It has space group Pmmm (No. 47), with a = 2.894 Å, b = 3.975 Å, c = 7.116 Å, α = 90.00°, β = 90.00° and γ = 90.00°. The asymmetric unit holds Ba at (0.000, 0.000, 0.000), Ru at (0.500, 0.500, 0.328) and Pt at (0.000, 0.000, 0.500).

The calculation puts the electronic total energy at -6.052 eV per atom. Its theoretical density is 10.845 g cm⁻³. As for the formation energy: 0.58 eV/atom. The value obtained for the polymorph energy (0 for the lowest one) is 0.4694 eV/atom.



No. 6
VASP calculation (PBE-GGA) on a geometry-optimized HfSiNi2Pb structure.

It has space group P4/mmm (No. 123), with a = 4.634 Å, b = 4.634 Å, c = 5.624 Å, α = 90.00°, β = 90.00° and γ = 90.00°. The asymmetric unit holds Hf at (0.000, 0.000, 0.000), Si at (0.500, 0.500, 0.500), Ni at (0.000, 0.500, 0.000) and Pb at (0.000, 0.000, 0.500).

The calculation puts the electronic total energy at -4.881 eV per atom. Its theoretical density is 7.303 g cm⁻³.